# Ca2InCoO5

A relaxed Ca2InCoO5 crystal (PBE+U, the Alexandria database).

Cell lengths 6.712, 6.712, 10.595 Å; angles 90.00, 90.00, 151.50 degrees
Fractional coordinates of all 18 atoms:
Ca1 0.092 0.908 0.500
Ca2 0.147 0.853 0.132
Ca3 0.853 0.147 0.632
Ca4 0.908 0.092 0.000
In1 0.212 0.788 0.851
In2 0.788 0.212 0.351
Co1 0.475 0.525 0.268
Co2 0.525 0.475 0.768
O1 0.046 0.954 0.862
O2 0.271 0.729 0.491
O3 0.328 0.672 0.218
O4 0.377 0.623 0.813
O5 0.489 0.511 0.600
O6 0.511 0.489 0.100
O7 0.623 0.377 0.313
O8 0.672 0.328 0.718
O9 0.729 0.271 0.991
O10 0.954 0.046 0.362

Summary:
- calculated total energy (eV per atom) = -6.037